Entry from Alexandria: a relaxed structure of CoNi3Pd2 (PBE).

a b c (Å): 7.8879 7.8879 7.7368
angles (deg): 120.65 120.65 90.00
Atoms (fractional coordinates):
Co1 0.3921 0.3921 0.7842
Co2 0.6079 0.6079 0.2158
Co3 0.6421 0.1421 0.2842
Co4 0.8579 0.3579 0.7158
Ni1 0.2933 0.7067 0.0000
Ni2 0.1250 0.8750 0.2500
Ni3 0.1250 0.3750 0.2500
Ni4 0.7067 0.7067 0.0000
Ni5 0.7067 0.2933 0.0000
Ni6 0.9567 0.4567 0.5000
Ni7 0.6250 0.8750 0.7500
Ni8 0.1250 0.8750 0.7500
Ni9 0.5433 0.0433 0.5000
Ni10 0.5433 0.4567 0.5000
Ni11 0.2933 0.2933 0.0000
Ni12 0.9567 0.0433 0.5000
Pd1 0.9042 0.7210 0.8084
Pd2 0.3458 0.6626 0.6916
Pd3 0.2790 0.0958 0.1916
Pd4 0.3374 0.6542 0.3084
Pd5 0.9126 0.0958 0.1916
Pd6 0.9710 0.6542 0.3084
Pd7 0.3458 0.0290 0.6916
Pd8 0.9042 0.0874 0.8084

Its space-group type is I4_1/amd (141).

Entry from Alexandria: a relaxed structure of CoNi4Pd (PBE).

a b c (Å): 4.4426 6.2841 6.3304
angles (deg): 119.76 103.30 90.00
Atoms (fractional coordinates):
Co1 0.2340 0.4562 0.9124
Co2 0.7660 0.5438 0.0876
Ni1 0.2900 0.6752 0.3504
Ni2 0.4354 0.0720 0.7613
Ni3 0.0000 0.1882 0.0000
Ni4 0.5646 0.3107 0.2387
Ni5 0.7100 0.3248 0.6496
Ni6 0.5646 0.9280 0.2387
Ni7 0.0000 0.8118 0.0000
Ni8 0.4354 0.6893 0.7613
Pd1 0.8681 0.7877 0.5753
Pd2 0.1319 0.2123 0.4247

For the energy above the most stable polymorph in this dataset, the calculation gives 0.171 eV/atom. Its space-group type is C2/m (12).

Entry from Alexandria: a relaxed structure of CoNi2Pd (PBE).

a b c (Å): 2.6032 2.6032 8.4717
angles (deg): 81.16 81.16 60.00
Atoms (fractional coordinates):
Ni1 0.7448 0.7448 0.7657
Ni2 0.2552 0.2552 0.2343
Co1 0.0000 0.0000 0.0000
Pd1 0.5000 0.5000 0.5000

For the energy above the most stable polymorph in this dataset, the calculation gives 0.042 eV/atom. Its space-group type is R-3m (166).

Entry from Alexandria: a relaxed structure of Co2Ni4Pd (PBE).

a b c (Å): 4.2962 8.5657 9.2264
angles (deg): 90.00 90.00 90.00
Atoms (fractional coordinates):
Ni1 0.8404 0.7227 0.5588
Ni2 0.3404 0.7773 0.4412
Ni3 0.1596 0.2227 0.9412
Ni4 0.6596 0.2773 0.0588
Ni5 0.1596 0.2773 0.4412
Ni6 0.6596 0.2227 0.5588
Ni7 0.8404 0.7773 0.0588
Ni8 0.3404 0.7227 0.9412
Ni9 0.1889 0.1927 0.6893
Ni10 0.6889 0.3073 0.3107
Ni11 0.8111 0.6927 0.8107
Ni12 0.3111 0.8073 0.1893
Ni13 0.8111 0.8073 0.3107
Ni14 0.3111 0.6927 0.6893
Ni15 0.1889 0.3073 0.1893
Ni16 0.6889 0.1927 0.8107
Co1 0.0353 0.9512 0.8152
Co2 0.5353 0.5488 0.1848
Co3 0.9647 0.4512 0.6848
Co4 0.4647 0.0488 0.3152
Co5 0.9647 0.0488 0.1848
Co6 0.4647 0.4512 0.8152
Co7 0.0353 0.5488 0.3152
Co8 0.5353 0.9512 0.6848
Pd1 0.0000 0.0000 0.5000
Pd2 0.5000 0.5000 0.5000
Pd3 0.0000 0.5000 0.0000
Pd4 0.5000 0.0000 0.0000

Its space-group type is Pbca (61).

Entry from Alexandria: a relaxed structure of CoNi2Pd3 (PBE).

a b c (Å): 4.5524 2.6873 13.1947
angles (deg): 90.00 90.01 90.00
Atoms (fractional coordinates):
Co1 0.2642 0.7500 0.2500
Co2 0.7358 0.2500 0.7500
Ni1 0.0964 0.2500 0.0865
Ni2 0.0970 0.2500 0.4133
Ni3 0.9036 0.7500 0.9135
Ni4 0.9030 0.7500 0.5867
Pd1 0.7767 0.2500 0.2500
Pd2 0.2233 0.7500 0.7500
Pd3 0.5939 0.7500 0.0830
Pd4 0.5944 0.7500 0.4171
Pd5 0.4061 0.2500 0.9170
Pd6 0.4056 0.2500 0.5829

Its space-group type is Pmmn (59).

Entry from Alexandria: a relaxed structure of Co2NiPd (PBE).

a b c (Å): 4.1274 4.1274 4.1274
angles (deg): 60.00 60.00 60.00
Atoms (fractional coordinates):
Ni1 0.0000 0.0000 0.0000
Co1 0.2500 0.2500 0.2500
Co2 0.7500 0.7500 0.7500
Pd1 0.5000 0.5000 0.5000

For the energy above the most stable polymorph in this dataset, the calculation gives 0.178 eV/atom. Its space-group type is Fm-3m (225).

| no. | total moment (μB/cell) | calculated formation energy (meV/atom) |
| --- | --- | --- |
| 1 | 19.0 | 338 |
| 2 | 9.5 | 210 |
| 3 | 3.2 | 63 |
| 4 | 26.9 | 188 |
| 5 | 8.4 | 78 |
| 6 | 4.5 | 222 |